Entry 1:
Material: La3DyHoEr
Method: DFT, PBE
State: relaxed

Cell lengths 3.6397, 10.9182, 10.8914 Å; angles 109.56, 90.00, 90.00 degrees
Fractional positions:
La 0.7500 0.8751 0.0465
La 0.2500 0.1249 0.9535
La 0.2500 0.6297 0.4574
La 0.7500 0.3703 0.5426
La 0.7500 0.3766 0.2054
La 0.2500 0.6234 0.7946
Dy 0.2500 0.1204 0.2952
Dy 0.7500 0.8796 0.7048
Ho 0.2500 0.6274 0.1261
Ho 0.7500 0.3726 0.8739
Er 0.2500 0.1209 0.6232
Er 0.7500 0.8791 0.3768

Computed properties:
The formation energy is 0.027 eV per atom. Its density of states at the Fermi level is 19.28 states/eV per cell. As for the electronic total energy: -56.73 eV for the cell shown. The calculation puts the size of the total moment at 0.00 μB per formula unit.

Entry 2:
Material: LaDy5HoEr2
Method: DFT, PBE
State: relaxed

Cell lengths 5.6095, 10.2986, 10.5140 Å; angles 90.00, 90.00, 105.80 degrees
Fractional positions:
La 0.5826 0.1652 0.9497
La 0.4174 0.8348 0.4497
Dy 0.3859 0.7719 0.0233
Dy 0.7195 0.4391 0.8144
Dy 0.4790 0.9580 0.7369
Dy 0.2974 0.5947 0.7097
Dy 0.9829 0.9659 0.5250
Dy 0.6141 0.2281 0.5233
Dy 0.2805 0.5609 0.3144
Dy 0.5210 0.0420 0.2369
Dy 0.7026 0.4053 0.2097
Dy 0.0171 0.0341 0.0250
Ho 0.8005 0.6010 0.5127
Ho 0.1995 0.3990 0.0127
Er 0.8865 0.7731 0.8185
Er 0.1118 0.2236 0.7338
Er 0.1135 0.2269 0.3185
Er 0.8882 0.7764 0.2338

Computed properties:
The formation energy is 0.167 eV per atom. Its density of states at the Fermi level is 29.63 states/eV per cell. As for the electronic total energy: -80.27 eV for the cell shown. The calculation puts the size of the total moment at 0.00 μB per formula unit.